1.
Density functional theory data (GGA-PBE) for crystalline NaLi3Au2 at its relaxed geometry.

Properties
Calculated formation energy ... -1.63 eV per formula unit

Lattice parameters (Å, degrees): 3.420 6.654 6.654 120.00 90.00 90.00
Atoms (fractional coordinates):
Na1 0.000 0.000 0.000
Li1 0.000 0.500 0.000
Li2 0.000 0.500 0.500
Li3 0.000 0.000 0.500
Au1 0.500 0.333 0.667
Au2 0.500 0.667 0.333

***

2.
Density functional theory data (GGA-PBE) for crystalline Na2Li2Au at its relaxed geometry.

Properties
Calculated formation energy ... 0.15 eV per formula unit

Lattice parameters (Å, degrees): 7.392 7.392 4.490 90.00 90.00 90.00
Atoms (fractional coordinates):
Na1 0.359 0.859 0.000
Na2 0.859 0.641 0.000
Na3 0.641 0.141 0.000
Na4 0.141 0.359 0.000
Au1 0.000 0.000 0.000
Au2 0.500 0.500 0.000
Li1 0.180 0.680 0.500
Li2 0.680 0.820 0.500
Li3 0.820 0.320 0.500
Li4 0.320 0.180 0.500

***

3.
Density functional theory data (GGA-PBE) for crystalline Na3LiAu8 at its relaxed geometry.

Properties
Calculated formation energy ... -4.37 eV per formula unit

Lattice parameters (Å, degrees): 5.572 5.572 9.745 73.39 73.39 60.00
Atoms (fractional coordinates):
Na1 0.375 0.375 0.874
Na2 0.999 0.999 0.003
Na3 0.501 0.501 0.497
Li1 0.875 0.875 0.376
Au1 0.936 0.437 0.190
Au2 0.439 0.938 0.685
Au3 0.437 0.437 0.190
Au4 0.938 0.938 0.685
Au5 0.188 0.188 0.437
Au6 0.688 0.688 0.937
Au7 0.437 0.936 0.190
Au8 0.938 0.439 0.685

***

4.
Density functional theory data (GGA-PBE) for crystalline NaLi2Au2 at its relaxed geometry.

Properties
Calculated formation energy ... -2.14 eV per formula unit

Lattice parameters (Å, degrees): 7.975 7.975 2.853 90.00 90.00 90.00
Atoms (fractional coordinates):
Na1 0.000 0.000 0.000
Na2 0.500 0.500 0.000
Au1 0.349 0.849 0.000
Au2 0.849 0.651 0.000
Au3 0.651 0.151 0.000
Au4 0.151 0.349 0.000
Li1 0.141 0.641 0.500
Li2 0.641 0.859 0.500
Li3 0.859 0.359 0.500
Li4 0.359 0.141 0.500